Below is Y2AlGe after structural relaxation, with properties calculated at the PBE-GGA level.

Results
Calculated formation energy, eV per formula unit: -2.88
Space-group type: P2_1/m (11)

Unit cell a=5.8730 b=4.0170 c=8.5422 alpha=90.00 beta=107.58 gamma=90.00
Last column: nearest neighbours and their distance in Å.
Element x y z (fractional)
Y 0.2046 0.2500 0.4252  3 Ge 3.04-3.27, 4 Al 3.09-3.19
Y 0.2852 0.7500 0.0671  4 Ge 3.01-3.24, 3 Al 3.08-3.21
Y 0.7148 0.2500 0.9329  4 Ge 3.01-3.24, 3 Al 3.08-3.21
Y 0.7954 0.7500 0.5748  3 Ge 3.04-3.27, 4 Al 3.09-3.19
Al 0.3647 0.7500 0.7118  2 Ge 2.62
Al 0.6353 0.2500 0.2882  2 Ge 2.62
Ge 0.1364 0.2500 0.7917  2 Al 2.62
Ge 0.8636 0.7500 0.2083  2 Al 2.62

=====

Below is Fe3HgRu after structural relaxation, with properties calculated at the PBE-GGA level.

Results
Calculated formation energy, eV per formula unit: 6.35
Space-group type: Pm-3m (221)

Unit cell a=4.6070 b=4.6070 c=4.6070 alpha=90.00 beta=90.00 gamma=90.00
Last column: nearest neighbours and their distance in Å.
Element x y z (fractional)
Fe 0.0000 0.0000 0.5000  2 Ru 2.30
Fe 0.0000 0.5000 0.0000  2 Ru 2.30
Fe 0.5000 0.0000 0.0000  2 Ru 2.30
Hg 0.5000 0.5000 0.5000  12 Fe 3.26
Ru 0.0000 0.0000 0.0000  6 Fe 2.30